A plane-wave DFT calculation with GGA-PBE was carried out for crystalline NdSc2Mn at its relaxed geometry.

Geometry as extended XYZ:
```
4
Lattice="-0.957 3.107 -0.099 -0.597 -0.082 3.196 8.101 2.546 1.578" Properties=species:S:1:pos:R:3 pbc="T T T"
Sc 6.642 2.087 1.294
Sc 1.459 0.458 0.284
Mn -0.777 1.512 1.549
Nd 3.274 2.785 2.338
```

## Properties
Its space group is No. 123.


A plane-wave DFT calculation with GGA-PBE was carried out for crystalline RbMgMnTc2 at its relaxed geometry.

Geometry as extended XYZ:
```
5
Lattice="4.801 0.000 0.000 0.000 5.452 0.000 0.000 0.000 4.801" Properties=species:S:1:pos:R:3 pbc="T T T"
Mn 2.401 2.726 2.401
Tc 0.000 0.000 2.401
Tc 2.401 0.000 0.000
Rb 0.000 2.726 0.000
Mg 0.000 0.000 0.000
```

## Properties
Its space group is No. 123.


Record-wise ΔE_f values, in eV/atom: 0.0800, 2.2682
Record-wise M_tot values, in Bohr magnetons per cell: 1.27, 4.92
Record-wise total energy values, in eV/f.u.: -26.28, -21.12